Here is a geometry-optimized LuMgAsOs structure from the Open Quantum Materials Database. Energies are from PBE.

Cell: 6.5388 6.5388 6.5388 Å, 90.00 90.00 90.00°
Space group F-43m (No. 216)
Inequivalent atoms, fractional coordinates:
Lu1 0.0000 0.0000 0.0000 (multiplicity 4)
Mg1 0.2500 0.2500 0.7500 (multiplicity 4)
As1 0.2500 0.2500 0.2500 (multiplicity 4)
Os1 0.0000 0.0000 0.5000 (multiplicity 4)

Results
- DFT total energy: -5.59 eV per atom
- Energy above the most stable polymorph in this dataset: 17.5 meV per atom
- Theoretical density: 11.0 g cm⁻³